# RbBeHgGe2, relaxed, DFT PBE
# M_tot in μB/atom: 0.9813
# Formation energy in eV/atom: 1.777
data_RbBeHgGe2
_symmetry_space_group_name_H-M 'P 4/m m m'
_symmetry_Int_Tables_number 123
_symmetry_space_group_name_Hall '-P 4 2'
_cell_length_a 6.735
_cell_length_b 6.735
_cell_length_c 7.054
_cell_angle_alpha 90.00
_cell_angle_beta 90.00
_cell_angle_gamma 90.00
loop_
_atom_site_label
_atom_site_fract_x
_atom_site_fract_y
_atom_site_fract_z
Rb1 0.000 0.000 0.000
Be1 0.500 0.500 0.500
Hg1 0.000 0.000 0.500
Ge1 0.000 0.500 0.000

***

# TaBeHgGe2, relaxed, DFT PBE
# M_tot in μB/atom: 0.0000
# Formation energy in eV/atom: 0.616
data_TaBeHgGe2
_symmetry_space_group_name_H-M 'P 4/m m m'
_symmetry_Int_Tables_number 123
_symmetry_space_group_name_Hall '-P 4 2'
_cell_length_a 4.382
_cell_length_b 4.382
_cell_length_c 4.674
_cell_angle_alpha 90.00
_cell_angle_beta 90.00
_cell_angle_gamma 90.00
loop_
_atom_site_label
_atom_site_fract_x
_atom_site_fract_y
_atom_site_fract_z
Ta1 0.000 0.000 0.000
Be1 0.000 0.000 0.500
Hg1 0.500 0.500 0.000
Ge1 0.000 0.500 0.500

***

# BeVHg2Ge, relaxed, DFT PBE
# M_tot in μB/atom: 0.0306
# Formation energy in eV/atom: 1.118
data_BeVHg2Ge
_symmetry_space_group_name_H-M 'P 4/m m m'
_symmetry_Int_Tables_number 123
_symmetry_space_group_name_Hall '-P 4 2'
_cell_length_a 5.271
_cell_length_b 5.271
_cell_length_c 4.033
_cell_angle_alpha 90.00
_cell_angle_beta 90.00
_cell_angle_gamma 90.00
loop_
_atom_site_label
_atom_site_fract_x
_atom_site_fract_y
_atom_site_fract_z
Be1 0.000 0.000 0.000
V1 0.500 0.500 0.000
Hg1 0.000 0.500 0.500
Ge1 0.000 0.000 0.500

***

# Y2BeHgGe, relaxed, DFT PBE
# M_tot in μB/atom: 0.0000
# Formation energy in eV/atom: -0.060
data_Y2BeHgGe
_symmetry_space_group_name_H-M 'P 4/m m m'
_symmetry_Int_Tables_number 123
_symmetry_space_group_name_Hall '-P 4 2'
_cell_length_a 5.179
_cell_length_b 5.179
_cell_length_c 4.410
_cell_angle_alpha 90.00
_cell_angle_beta 90.00
_cell_angle_gamma 90.00
loop_
_atom_site_label
_atom_site_fract_x
_atom_site_fract_y
_atom_site_fract_z
Y1 0.000 0.500 0.000
Be1 0.000 0.000 0.000
Hg1 0.000 0.000 0.500
Ge1 0.500 0.500 0.500

***

# Ho3BeGe4, relaxed, DFT PBE
# M_tot in μB/atom: 0.0000
# Formation energy in eV/atom: -0.509
data_Ho3BeGe4
_symmetry_space_group_name_H-M 'I m m m'
_symmetry_Int_Tables_number 71
_symmetry_space_group_name_Hall '-I 2 2'
_cell_length_a 4.324
_cell_length_b 5.712
_cell_length_c 14.405
_cell_angle_alpha 90.00
_cell_angle_beta 90.00
_cell_angle_gamma 90.00
loop_
_atom_site_label
_atom_site_fract_x
_atom_site_fract_y
_atom_site_fract_z
Ho1 0.000 0.000 0.000
Ho2 0.000 0.500 0.192
Be1 0.000 0.000 0.500
Ge1 0.000 0.280 0.380

***

# Ho2BeGe, relaxed, DFT PBE
# M_tot in μB/atom: 0.0001
# Formation energy in eV/atom: 0.476
data_Ho2BeGe
_symmetry_space_group_name_H-M 'R -3 m'
_symmetry_Int_Tables_number 166
_symmetry_space_group_name_Hall '-R 3 2"'
_cell_length_a 4.0929
_cell_length_b 4.0929
_cell_length_c 26.6000
_cell_angle_alpha 90.00
_cell_angle_beta 90.00
_cell_angle_gamma 120.00
loop_
_atom_site_label
_atom_site_fract_x
_atom_site_fract_y
_atom_site_fract_z
Ho1 0.0000 0.0000 0.1096
Be1 0.0000 0.0000 0.0000
Ge1 0.0000 0.0000 0.5000

***

# Ho2Be4Ge3Ir, relaxed, DFT PBE
# M_tot in μB/atom: 0.0000
# Formation energy in eV/atom: -0.489
data_Ho2Be4Ge3Ir
_symmetry_space_group_name_H-M 'P -4 m 2'
_symmetry_Int_Tables_number 115
_cell_length_a 3.866
_cell_length_b 3.866
_cell_length_c 9.995
_cell_angle_alpha 90.00
_cell_angle_beta 90.00
_cell_angle_gamma 90.00
loop_
_symmetry_equiv_pos_as_xyz
'x,y,z'
'y,-x,-z'
'-x,-y,z'
'-y,x,-z'
'-x,y,z'
'-y,-x,-z'
'x,-y,z'
'y,x,-z'
loop_
_atom_site_label
_atom_site_fract_x
_atom_site_fract_y
_atom_site_fract_z
Ho1 0.000 0.500 0.249
Be1 0.000 0.000 0.500
Be2 0.000 0.500 0.866
Be3 0.500 0.500 0.500
Ge1 0.000 0.000 0.000
Ge2 0.000 0.500 0.635
Ir1 0.500 0.500 0.000

***

# Ho2Be3GeIr4, relaxed, DFT PBE
# M_tot in μB/atom: 0.0000
# Formation energy in eV/atom: -0.686
data_Ho2Be3GeIr4
_symmetry_space_group_name_H-M 'P -4 m 2'
_symmetry_Int_Tables_number 115
_cell_length_a 4.109
_cell_length_b 4.109
_cell_length_c 9.308
_cell_angle_alpha 90.00
_cell_angle_beta 90.00
_cell_angle_gamma 90.00
loop_
_symmetry_equiv_pos_as_xyz
'x,y,z'
'y,-x,-z'
'-x,-y,z'
'-y,x,-z'
'-x,y,z'
'-y,-x,-z'
'x,-y,z'
'y,x,-z'
loop_
_atom_site_label
_atom_site_fract_x
_atom_site_fract_y
_atom_site_fract_z
Ho1 0.000 0.500 0.231
Be1 0.000 0.500 0.889
Be2 0.500 0.500 0.500
Ge1 0.000 0.000 0.500
Ir1 0.000 0.000 0.000
Ir2 0.000 0.500 0.638
Ir3 0.500 0.500 0.000